(1)
Computed, not measured: an optimized crystal structure of Nd2Dy6Y3Er at the PBE-GGA level of DFT.

Values from the calculation:
- energy of formation from the pure elements (eV per formula unit) = 0.2
- density (g/cm³) = 7.31

Lattice parameters (Å, degrees): 6.185 10.704 11.835 90.00 99.98 90.00
Space group C2/m (No. 12)
Inequivalent atoms, fractional coordinates:
Nd (0.000, 0.167, 0.000) (multiplicity 4)
Dy (0.248, 0.500, 0.749) (multiplicity 4)
Dy (0.250, 0.166, 0.749) (multiplicity 8)
Y (0.000, 0.000, 0.500) (multiplicity 2)
Y (0.000, 0.334, 0.500) (multiplicity 4)
Er (0.000, 0.500, 0.000) (multiplicity 2)


(2)
Computed, not measured: an optimized crystal structure of UGaO at the PBE-GGA level of DFT.

Values from the calculation:
- formation energy from raw total energies (eV per atom) = -1.43
- density (g/cm³) = 10.99

Lattice parameters (Å, degrees): 3.475 3.475 8.104 90.00 90.00 90.00
Space group P4/nmm (No. 129, origin choice 2)
Inequivalent atoms, fractional coordinates:
U (0.250, 0.250, 0.163) (multiplicity 2)
Ga (0.250, 0.750, 0.500) (multiplicity 2)
O (0.250, 0.250, 0.874) (multiplicity 2)


Which formula does entry 1 have? Nd2Dy6Y3Er


Which formula does entry 2 have? UGaO